No. 1
The following is a PBE calculation of a geometry-optimized LiEr2Rh structure, from the Alexandria database. Values from VASP.

Output
electronic total energy	-20.16	eV for the cell shown
M_tot	0.000	μB/atom

Geometry as Quantum ESPRESSO input:
```
&SYSTEM
  ibrav = 0, nat = 4, ntyp = 3
/
ATOMIC_SPECIES
Li 6.94 Li.upf
Er 167.26 Er.upf
Rh 102.91 Rh.upf
CELL_PARAMETERS angstrom
4.8116 0.0000 0.0000
0.0000 4.8116 0.0000
0.0000 0.0000 3.5902
ATOMIC_POSITIONS crystal
Li 0.0000 0.0000 0.0000
Er 0.0000 0.5000 0.5000
Er 0.5000 0.0000 0.5000
Rh 0.5000 0.5000 0.0000
```

=====

No. 2
The following is a PBE calculation of a geometry-optimized NbV3Si structure, from the Alexandria database. Values from VASP.

Output
M_tot	0.000	μB/atom
distance to the lowest polymorph of the same formula	0.000	eV/atom
formation energy without anion corrections	-23.9	kJ/mol of atoms

Geometry as Quantum ESPRESSO input:
```
&SYSTEM
  ibrav = 0, nat = 20, ntyp = 3
/
ATOMIC_SPECIES
Nb 92.91 Nb.upf
V 50.94 V.upf
Si 28.09 Si.upf
CELL_PARAMETERS angstrom
8.4074 0.0000 0.0000
0.0000 3.2005 0.0000
0.0000 0.0000 10.9088
ATOMIC_POSITIONS crystal
Nb 0.1535 0.2500 0.0108
Nb 0.3465 0.7500 0.5108
Nb 0.6535 0.2500 0.4892
Nb 0.8465 0.7500 0.9892
V 0.0573 0.2500 0.4141
V 0.0864 0.7500 0.2289
V 0.1592 0.7500 0.8003
V 0.3408 0.2500 0.3003
V 0.4136 0.2500 0.7289
V 0.4427 0.7500 0.9141
V 0.5573 0.2500 0.0859
V 0.5864 0.7500 0.2711
V 0.6592 0.7500 0.6997
V 0.8408 0.2500 0.1997
V 0.9136 0.2500 0.7711
V 0.9427 0.7500 0.5859
Si 0.1526 0.2500 0.6305
Si 0.3474 0.7500 0.1305
Si 0.6526 0.2500 0.8695
Si 0.8474 0.7500 0.3695
```

=====

No. 3
The following is a PBE calculation of a geometry-optimized TeHSeI2 structure, from the Alexandria database. Values from VASP.

Output
M_tot	0.000	μB/atom
distance to the lowest polymorph of the same formula	0.000	eV/atom

Geometry as Quantum ESPRESSO input:
```
&SYSTEM
  ibrav = 0, nat = 5, ntyp = 4
/
ATOMIC_SPECIES
Te 127.60 Te.upf
H 1.01 H.upf
Se 78.96 Se.upf
I 126.90 I.upf
CELL_PARAMETERS angstrom
5.7093 0.0000 0.0000
0.0000 5.7093 0.0000
0.0000 0.0000 3.8580
ATOMIC_POSITIONS crystal
Te 0.0000 0.0000 0.0000
H 0.0000 0.0000 0.5000
Se 0.5000 0.5000 0.0000
I 0.0000 0.5000 0.5000
I 0.5000 0.0000 0.5000
```

=====

No. 4
The following is a PBE calculation of a geometry-optimized Sr2LiPt structure, from the Alexandria database. Values from VASP.

Output
M_tot	0.000	μB/atom
distance to the lowest polymorph of the same formula	0.130	eV/atom

Geometry as Quantum ESPRESSO input:
```
&SYSTEM
  ibrav = 0, nat = 4, ntyp = 3
/
ATOMIC_SPECIES
Sr 87.62 Sr.upf
Li 6.94 Li.upf
Pt 195.08 Pt.upf
CELL_PARAMETERS angstrom
-1.8979 2.6176 6.1564
1.8979 -2.6176 6.1564
1.8979 2.6176 -6.1564
ATOMIC_POSITIONS crystal
Sr 0.0000 0.0000 0.0000
Sr 0.7020 0.2020 0.5000
Li 0.3567 0.3567 0.0000
Pt 0.2044 0.7044 0.5000
```